A plane-wave DFT calculation with GGA-PBEsol was carried out for a relaxed structure of MgI2F.

M_tot = 0.26 μB/atom
DOS(E_F) = 4.26 states/eV/cell
Formation energy from raw total energies = -0.719 eV per atom
Space-group type = I-42d (122)

Cell lengths 7.2791, 7.2791, 7.2791 Å; angles 124.15, 124.15, 82.94 degrees
Closest atoms and distances in Å follow each position.
Atoms (fractional coordinates):
Mg1 0.0000 0.0000 0.0000  4 I 2.76
Mg2 0.7500 0.2500 0.5000  4 I 2.76
I1 0.1217 0.1250 0.4967  2 Mg 2.76, 2 F 2.78
I2 0.3750 0.8783 0.0033  2 Mg 2.76, 2 F 2.78
I3 0.6283 0.6250 0.5033  2 Mg 2.76, 2 F 2.78
I4 0.8750 0.3717 0.9967  2 Mg 2.76, 2 F 2.78
F1 0.2500 0.7500 0.5000  4 I 2.78
F2 0.5000 0.5000 0.0000  4 I 2.78